[1]
First-principles (PBE) data for a geometry-optimized LiIn2H structure, as listed in the Alexandria database.

The space group is I-42d (No. 122) and the conventional cell measures 7.200, 7.200 and 5.737 Å, with angles of 90.00, 90.00 and 90.00 degrees. The distinct sites, in fractional coordinates, are Li at (0.000, 0.000, 0.000), In at (0.167, 0.750, 0.625) and H at (0.000, 0.000, 0.500).

The offset from the most stable computed form comes out at 0.000 eV/f.u. The value obtained for the total moment is 0.000 μB per formula unit.

[2]
First-principles (PBE) data for a geometry-optimized CsSeBr3 structure, as listed in the Alexandria database.

The space group is P1 (No. 1) and the conventional cell measures 5.125, 5.320 and 7.935 Å, with angles of 80.47, 89.53 and 89.63 degrees. The distinct sites, in fractional coordinates, are Cs at (0.000, 0.000, 0.000), Se at (0.476, 0.815, 0.599), Br at (0.015, 0.694, 0.566), Br at (0.493, 0.120, 0.322) and Br at (0.498, 0.523, 0.919).

The raw total energy comes out at -2.64 eV per atom. The value obtained for the total moment is 0.000 μB per formula unit.

[3]
First-principles (PBE) data for a geometry-optimized NaTiPdF6 structure, as listed in the Alexandria database.

The space group is P-31c (No. 163) and the conventional cell measures 5.7295, 5.7295 and 9.3782 Å, with angles of 90.00, 90.00 and 120.00 degrees. The distinct sites, in fractional coordinates, are Na at (0.0000, 0.0000, 0.0000), Ti at (0.3333, 0.6667, 0.2500), Pd at (0.3333, 0.6667, 0.7500) and F at (0.0691, 0.3859, 0.1341).

The raw total energy comes out at -5.43 eV per atom. The value obtained for the total moment is 1.000 μB per formula unit.

[4]
First-principles (PBE) data for a geometry-optimized Gd2ThPb structure, as listed in the Alexandria database.

The space group is P4/mmm (No. 123) and the conventional cell measures 4.948, 4.948 and 4.866 Å, with angles of 90.00, 90.00 and 90.00 degrees. The distinct sites, in fractional coordinates, are Gd at (0.000, 0.500, 0.000), Th at (0.000, 0.000, 0.500) and Pb at (0.500, 0.500, 0.500).

The offset from the most stable computed form comes out at 0.000 eV/f.u. The value obtained for the total moment is 14.604 μB per formula unit.